Record 1
First-principles (GGA-PBE) data for a geometry-optimized TlAgRu2 structure, as listed in the Alexandria database.

Calculated volume, Å³/f.u.: 68
DFT formation energy, meV per atom: 560
Crystal system: monoclinic
Total DFT energy (no corrections), eV/atom: -5.3825
ΔE to the lowest computed polymorph, eV/f.u.: 0.75
N(E_F), states/eV/f.u.: 3.9

Geometry as POSCAR:
```
TlAgRu2
1.0
4.5571 -1.4787 0.0000
4.5571 1.4787 0.0000
-0.8224 0.0000 5.0652
Tl Ag Ru
1 1 2
direct
0.0000 0.0000 0.0000
0.2426 0.2426 0.7564
0.4896 0.4896 0.4734
0.7532 0.7532 0.2977
```

Record 2
First-principles (GGA-PBE) data for a geometry-optimized TlAgRu4 structure, as listed in the Alexandria database.

Calculated volume, Å³/f.u.: 101
DFT formation energy, meV per atom: 696
Crystal system: cubic
Total DFT energy (no corrections), eV/atom: -6.3570
N(E_F), states/eV/f.u.: 8.5

Geometry as POSCAR:
```
TlAgRu4
1.0
0.0000 3.6938 3.6938
3.6938 0.0000 3.6938
3.6938 3.6938 0.0000
Tl Ag Ru
1 1 4
direct
0.0000 0.0000 0.0000
0.2500 0.2500 0.2500
0.1258 0.6247 0.6247
0.6247 0.1258 0.6247
0.6247 0.6247 0.1258
0.6247 0.6247 0.6247
```

Record 3
First-principles (GGA-PBE) data for a geometry-optimized TlAgRu2 structure, as listed in the Alexandria database.

Calculated volume, Å³/f.u.: 68
DFT formation energy, meV per atom: 730
Crystal system: tetragonal
Total DFT energy (no corrections), eV/atom: -5.2121
ΔE to the lowest computed polymorph, eV/f.u.: 1.44
N(E_F), states/eV/f.u.: 5.4

Geometry as POSCAR:
```
TlAgRu2
1.0
4.5110 0.0000 0.0000
0.0000 4.5110 0.0000
0.0000 0.0000 3.3299
Tl Ag Ru
1 1 2
direct
0.0000 0.0000 0.0000
0.5000 0.5000 0.0000
0.0000 0.5000 0.5000
0.5000 0.0000 0.5000
```